DFT (PBE) results for an optimized crystal structure of PmHoAl.

a b c (Å): 3.6238 5.0997 5.0997
angles (deg): 120.00 90.00 90.00
Closest atoms and distances in Å follow each position.
Element x y z (fractional)
Pm: 0.3703 0.3333 0.6667  3 Al 3.18, 3 Ho 3.35
Al: 0.6991 0.6667 0.3333  3 Ho 3.06, 3 Pm 3.18
Ho: 0.9306 0.0000 0.0000  3 Al 3.06, 3 Pm 3.35

Output
Formation enthalpy at 0 K   -13.94 kJ/mol of atoms
Symmetry   No. 156
ΔE to the lowest computed polymorph   0.27 eV per formula unit
Fermi-level density of states   0.63 states/eV per atom